Compound: MgCo2As
Source: the Alexandria database
Functional: GGA-PBE
Structure: relaxed Values from VASP.

Computed properties:
* formation enthalpy at 0 K: 0.019 eV/atom
* final energy: -5.095 eV/atom
* Fermi-level density of states: 5.14 states/eV/cell

Geometry as Quantum ESPRESSO input:
```
&SYSTEM
  ibrav = 0, nat = 4, ntyp = 3
/
ATOMIC_SPECIES
Mg 24.30 Mg.upf
Co 58.93 Co.upf
As 74.92 As.upf
ATOMIC_POSITIONS crystal
Mg 0.000 0.000 0.477
Co 0.000 0.000 0.999
Co 0.500 0.500 0.215
As 0.500 0.500 0.809
CELL_PARAMETERS angstrom
2.958 0.000 0.000
0.000 3.294 0.000
0.000 0.000 5.855
```